DFT (meta-GGA SCAN) results for a crystal of Tm2CuOs relaxed with PBEsol.

Properties
As for the electronic total energy: -192.58 eV for the cell shown. The mass density comes out at 13305 kg/m³. The calculation puts the formation energy at -459 meV/atom. Its size of the total moment is 0.0 Bohr magnetons per cell.

Cell: 4.709 4.709 4.709 Å, 60.00 60.00 60.00°
Positions (direct):
Tm (0.750, 0.750, 0.750)
Tm (0.250, 0.250, 0.250)
Os (0.000, 0.000, 0.000)
Cu (0.500, 0.500, 0.500)